Entry 1:
VASP calculation (PBE) on a relaxed SrMoCl3 crystal.

Computed properties:
The total energy is -21.73 eV per cell. The value obtained for the energy above the most stable polymorph in this dataset is 0.000 eV/atom. The uncorrected formation energy comes out at -0.7351 eV per atom.

abc: 5.022 5.022 5.022
angles: 90.00 90.00 90.00
Space group Pm-3m (No. 221)
Asymmetric unit:
Sr1 0.000 0.000 0.000
Mo1 0.500 0.500 0.500
Cl1 0.000 0.500 0.500


Entry 2:
VASP calculation (PBE) on a relaxed SrMoCl2 crystal.

Computed properties:
The total energy is -17.88 eV per cell. The value obtained for the energy above the most stable polymorph in this dataset is 0.065 eV/atom. The uncorrected formation energy comes out at -0.4180 eV per atom.

abc: 3.320 4.151 6.111
angles: 90.00 90.00 90.00
Space group Pmmm (No. 47)
Asymmetric unit:
Sr1 0.000 0.000 0.000
Mo1 0.500 0.000 0.500
Cl1 0.500 0.500 0.262


Entry 3:
VASP calculation (PBE) on a relaxed SrMoCl crystal.

Computed properties:
The total energy is -13.25 eV per cell. The value obtained for the energy above the most stable polymorph in this dataset is 0.024 eV/atom. The uncorrected formation energy comes out at 0.3711 eV per atom.

abc: 3.5979 3.5979 7.0060
angles: 90.00 90.00 120.00
Space group P3m1 (No. 156)
Asymmetric unit:
Sr1 0.0000 0.0000 0.0000
Mo1 0.3333 0.6667 0.6387
Cl1 0.6667 0.3333 0.2988


Entry 4:
VASP calculation (PBE) on a relaxed SrMo2Cl crystal.

Computed properties:
The total energy is -25.46 eV per cell. The value obtained for the energy above the most stable polymorph in this dataset is 0.000 eV/atom. The uncorrected formation energy comes out at -0.0666 eV per atom.

abc: 3.374 3.294 8.073
angles: 90.00 99.76 90.00
Space group Pm (No. 6)
Asymmetric unit:
Sr1 0.000 0.000 0.000
Mo1 0.257 0.000 0.453
Mo2 0.641 0.500 0.311
Cl1 0.398 0.500 0.752